Record 1
BRuS2 after structural relaxation, computed with GGA-PBE.

Computed properties:
Formation energy without anion corrections = -0.034 eV per formula unit
Density of states at the Fermi level = 9.62 states/eV/cell

a b c (Å): 4.997 4.997 9.091
angles (deg): 90.00 90.00 90.00
Space group I-42d (No. 122)
Symmetry-distinct sites (fractional):
B1 0.000 0.000 0.000 x4
Ru1 0.000 0.000 0.500 x4
S1 0.194 0.250 0.125 x8

Record 2
BRuS2 after structural relaxation, computed with GGA-PBE.

Computed properties:
Formation energy without anion corrections = 1.341 eV per formula unit
Density of states at the Fermi level = 7.94 states/eV/cell

a b c (Å): 2.9591 2.9591 20.6793
angles (deg): 90.00 90.00 120.00
Space group R-3m (No. 166, hexagonal axes)
Symmetry-distinct sites (fractional):
B1 0.0000 0.0000 0.0000 x3
Ru1 0.0000 0.0000 0.5000 x3
S1 0.0000 0.0000 0.3916 x6

no.,energy (eV per atom)
1,-6.061
2,-5.717